Record 1
SiHgCl6: relaxed, PBE-GGA.

Its magnetization is 0.00 μB/cell. The value obtained for the formation energy (no corrections) is -0.762 eV per atom. For the total energy, the calculation gives -2.862 eV/atom. The calculated density is 3.14 g/cm³.

It has space group C2/m (No. 12), with a = 6.600 Å, b = 11.858 Å, c = 6.485 Å, α = 90.00°, β = 113.31° and γ = 90.00°. The inequivalent atoms are Si at (0.000, 0.000, 0.000), Hg at (0.000, 0.500, 0.500), Cl at (0.200, 0.000, 0.807) and Cl at (0.219, 0.140, 0.228).


Record 2
SiHg3Cl: relaxed, PBE-GGA.

The distance to the lowest polymorph of the same formula is 893 meV/atom. Its magnetization is 0.91 μB/cell. The value obtained for the formation energy (no corrections) is 0.812 eV per atom. For the total energy, the calculation gives -0.823 eV/atom. The calculated density is 6.30 g/cm³.

It has space group Pm-3m (No. 221), with a = 5.597 Å, b = 5.597 Å, c = 5.597 Å, α = 90.00°, β = 90.00° and γ = 90.00°. The inequivalent atoms are Si at (0.000, 0.000, 0.000), Hg at (0.000, 0.500, 0.500) and Cl at (0.500, 0.500, 0.500).


Record 3
Si2HgCl: relaxed, PBE-GGA.

The distance to the lowest polymorph of the same formula is 437 meV/atom. Its magnetization is 0.00 μB/cell. The value obtained for the formation energy (no corrections) is 0.474 eV per atom. For the total energy, the calculation gives -2.774 eV/atom. The calculated density is 6.05 g/cm³.

It has space group Immm (No. 71), with a = 3.075 Å, b = 5.441 Å, c = 9.589 Å, α = 90.00°, β = 90.00° and γ = 90.00°. The inequivalent atoms are Si at (0.000, 0.000, 0.248), Hg at (0.000, 0.500, 0.500) and Cl at (0.000, 0.500, 0.000).


Record 4
Si2HgCl: relaxed, PBE-GGA.

The distance to the lowest polymorph of the same formula is 549 meV/atom. Its magnetization is 0.00 μB/cell. The value obtained for the formation energy (no corrections) is 0.586 eV per atom. For the total energy, the calculation gives -2.662 eV/atom. The calculated density is 6.00 g/cm³.

It has space group P4/mmm (No. 123), with a = 5.216 Å, b = 5.216 Å, c = 2.974 Å, α = 90.00°, β = 90.00° and γ = 90.00°. The inequivalent atoms are Si at (0.000, 0.500, 0.000), Hg at (0.000, 0.000, 0.500) and Cl at (0.500, 0.500, 0.500).


Record 5
Si2HgCl: relaxed, PBE-GGA.

The distance to the lowest polymorph of the same formula is 155 meV/atom. Its magnetization is 0.00 μB/cell. The value obtained for the formation energy (no corrections) is 0.192 eV per atom. For the total energy, the calculation gives -3.056 eV/atom. The calculated density is 5.69 g/cm³.

It has space group Pm (No. 6), with a = 3.074 Å, b = 5.249 Å, c = 5.308 Å, α = 90.00°, β = 95.65° and γ = 90.00°. The inequivalent atoms are Si at (0.000, 0.000, 0.000), Si at (0.172, 0.500, 0.026), Hg at (0.317, 0.500, 0.519) and Cl at (0.841, 0.000, 0.592).


Record 6
Si2HgCl: relaxed, PBE-GGA.

The distance to the lowest polymorph of the same formula is 288 meV/atom. Its magnetization is 0.00 μB/cell. The value obtained for the formation energy (no corrections) is 0.325 eV per atom. For the total energy, the calculation gives -2.923 eV/atom. The calculated density is 5.27 g/cm³.

It has space group P2/m (No. 10), with a = 3.902 Å, b = 4.724 Å, c = 5.004 Å, α = 90.00°, β = 92.96° and γ = 90.00°. The inequivalent atoms are Si at (0.248, 0.000, 0.153), Hg at (0.500, 0.500, 0.000) and Cl at (0.000, 0.500, 0.500).